Computed, not measured: a geometry-optimized SmDy2Cd structure at the PBE level of DFT.

The structure in POSCAR format:
```
SmDy2Cd
1.0
4.8639 0.0000 0.0000
0.0000 4.8725 0.0000
0.0000 0.0000 4.8725
Dy Sm Cd
2 1 1
direct
0.0000 0.0000 0.5000 Dy
0.0000 0.5000 0.0000 Dy
0.5000 0.5000 0.5000 Sm
0.5000 0.0000 0.0000 Cd
```

Calculated total energy: -3.801 eV/atom
Energy relative to the lowest polymorph listed for this composition: 0.0585 eV per atom
Calculated formation energy: -0.4 eV/f.u.

---

Computed, not measured: a geometry-optimized NbZn3As structure at the PBE level of DFT.

The structure in POSCAR format:
```
NbZn3As
1.0
4.9869 0.0000 0.0000
0.0000 4.9869 0.0000
0.0000 0.0000 4.9869
Zn Nb As
3 1 1
direct
0.5000 0.0000 0.0000 Zn
0.0000 0.0000 0.5000 Zn
0.0000 0.5000 0.0000 Zn
0.0000 0.0000 0.0000 Nb
0.5000 0.5000 0.5000 As
```

Calculated total energy: -2.544 eV/atom
Energy relative to the lowest polymorph listed for this composition: 0.1894 eV per atom
Calculated formation energy: 5.8 eV/f.u.

---

Computed, not measured: a geometry-optimized CrTe3 structure at the PBE level of DFT.

The structure in POSCAR format:
```
CrTe3
1.0
-1.4221 -1.0645 2.5710
0.3318 -5.9316 -2.2725
5.8877 2.7789 2.5080
Te Cr
3 1
direct
0.6507 0.0278 0.3014 Te
0.5000 0.3707 0.0000 Te
0.3493 0.7264 0.6986 Te
0.0000 0.0418 0.0000 Cr
```

Calculated total energy: -4.717 eV/atom

---

Computed, not measured: a geometry-optimized HfMoAs2N structure at the PBE level of DFT.

The structure in POSCAR format:
```
HfMoAs2N
1.0
-1.6318 0.5371 -4.0798
-0.2525 -4.0551 -0.4328
-4.1059 0.0793 1.6527
N Hf Mo As
1 1 1 2
direct
0.0000 0.0000 0.0000 N
0.0000 0.5000 0.0000 Hf
0.5000 0.5000 0.5000 Mo
0.5000 0.0000 0.0000 As
0.0000 0.0000 0.5000 As
```

Calculated total energy: -7.427 eV/atom

---

no.,magnetic moment (μB/atom),volume (Å³ per atom)
1,0.08,28.9
2,0.00,24.8
3,0.00,29.9
4,0.10,16.0